{
  "formula": "TmInGaO4",
  "functional": "PBE",
  "state": "relaxed",
  "e_form_raw_mev_per_atom": -2113,
  "total_energy_ev_per_atom": -6.41,
  "lattice_angstrom": [[-1.463, -4.165, 4.407], [4.066, -0.815, 4.994], [-1.907, 2.156, 5.819]],
  "species": ["O", "O", "Ga", "In", "In", "O", "O", "O", "Tm", "O", "Tm", "O", "Ga", "O"],
  "frac_coords": [[0.752, 0.261, 0.235], [0.248, 0.265, 0.239], [0.368, 0.382, 0.882], [0.000, 0.000, 0.500], [0.500, 0.000, 0.500], [0.746, 0.259, 0.759], [0.248, 0.739, 0.765], [0.763, 0.741, 0.241], [0.000, 0.000, 0.000], [0.254, 0.741, 0.241], [0.000, 0.500, 0.500], [0.237, 0.259, 0.759], [0.632, 0.618, 0.118], [0.752, 0.735, 0.761]]
}

---

{
  "formula": "SmErAgHg",
  "functional": "PBE",
  "state": "relaxed",
  "total_energy_ev_per_atom": -3.50,
  "e_form_ev_per_atom": -0.390,
  "lattice_angstrom": [[3.686, 0.000, 0.000], [0.000, 3.686, 0.000], [0.000, 0.000, 7.452]],
  "species": ["Er", "Ag", "Sm", "Hg"],
  "frac_coords": [[0.500, 0.500, 0.600], [0.000, 0.000, 0.373], [0.500, 0.500, 0.111], [0.000, 0.000, 0.844]]
}

---

{
  "formula": "KLi2Tl",
  "functional": "PBE",
  "state": "relaxed",
  "de_polymorph_mev_per_atom": 87.1,
  "total_energy_ev_per_atom": -1.79,
  "e_form_ev_per_atom": 0.033,
  "lattice_angstrom": [[-1.579, 7.244, -4.217], [-3.324, -4.151, 1.079], [-2.377, 2.301, 1.618]],
  "species": ["Li", "K", "Li", "Tl"],
  "frac_coords": [[0.000, 0.000, 0.000], [0.500, 0.500, 0.000], [0.500, 0.000, 0.500], [0.000, 0.500, 0.500]]
}

---

{
  "formula": "Tc3Pb5O12",
  "functional": "PBE",
  "state": "relaxed",
  "e_form_raw_mev_per_atom": -585,
  "total_energy_ev_per_atom": -6.04,
  "lattice_angstrom": [[11.577, 0.000, 0.000], [-3.859, 10.915, 0.000], [-3.859, -5.457, 9.453]],
  "species": ["Pb", "O", "Tc", "O", "O", "Tc", "O", "O", "O", "O", "Tc", "O", "O", "O", "O", "O", "O", "O", "O", "Pb", "O", "Pb", "Pb", "Pb", "O", "Pb", "O", "O", "O", "O", "O", "O", "O", "Pb", "O", "O", "Pb", "Tc", "O", "O", "Tc", "O", "Pb", "O", "Tc", "O", "O", "Tc", "Pb", "O", "O", "Pb", "O", "Tc", "O", "O", "O", "Pb", "O", "O", "O", "O", "Pb", "Pb", "Pb", "O", "Pb", "Pb", "O", "O", "O", "Tc", "Tc", "O", "Tc", "Pb", "Tc", "Pb", "O", "Pb"],
  "frac_coords": [[0.125, 0.750, 0.375], [0.082, 0.623, 0.746], [0.625, 0.375, 0.750], [0.377, 0.254, 0.336], [0.377, 0.459, 0.123], [0.250, 0.125, 0.375], [0.582, 0.246, 0.123], [0.459, 0.082, 0.336], [0.377, 0.123, 0.541], [0.623, 0.746, 0.664], [0.875, 0.750, 0.125], [0.164, 0.123, 0.746], [0.918, 0.377, 0.254], [0.123, 0.746, 0.582], [0.746, 0.623, 0.164], [0.664, 0.246, 0.623], [0.746, 0.123, 0.082], [0.754, 0.418, 0.377], [0.836, 0.877, 0.254], [0.250, 0.375, 0.625], [0.877, 0.041, 0.623], [0.875, 0.625, 0.750], [0.250, 0.875, 0.125], [0.000, 0.000, 0.500], [0.246, 0.664, 0.123], [0.500, 0.000, 0.000], [0.959, 0.836, 0.582], [0.123, 0.164, 0.246], [0.123, 0.377, 0.041], [0.459, 0.377, 0.623], [0.623, 0.877, 0.459], [0.246, 0.582, 0.623], [0.377, 0.918, 0.754], [0.500, 0.500, 0.000], [0.336, 0.582, 0.459], [0.041, 0.877, 0.123], [0.875, 0.250, 0.625], [0.375, 0.625, 0.250], [0.541, 0.918, 0.664], [0.041, 0.164, 0.418], [0.250, 0.625, 0.875], [0.254, 0.377, 0.836], [0.500, 0.000, 0.500], [0.959, 0.123, 0.877], [0.125, 0.250, 0.875], [0.418, 0.754, 0.877], [0.836, 0.959, 0.082], [0.875, 0.125, 0.250], [0.750, 0.625, 0.375], [0.623, 0.541, 0.877], [0.877, 0.836, 0.754], [0.000, 0.500, 0.500], [0.541, 0.623, 0.377], [0.750, 0.875, 0.625], [0.254, 0.877, 0.918], [0.164, 0.041, 0.918], [0.918, 0.541, 0.164], [0.625, 0.750, 0.875], [0.123, 0.959, 0.377], [0.418, 0.664, 0.041], [0.336, 0.754, 0.377], [0.877, 0.623, 0.959], [0.375, 0.125, 0.750], [0.000, 0.000, 0.000], [0.000, 0.500, 0.000], [0.082, 0.459, 0.836], [0.750, 0.125, 0.875], [0.375, 0.250, 0.125], [0.582, 0.336, 0.959], [0.877, 0.254, 0.418], [0.754, 0.336, 0.877], [0.125, 0.875, 0.750], [0.375, 0.750, 0.625], [0.623, 0.082, 0.246], [0.750, 0.375, 0.125], [0.125, 0.375, 0.250], [0.625, 0.250, 0.375], [0.625, 0.875, 0.250], [0.664, 0.418, 0.541], [0.500, 0.500, 0.500]]
}

---

{
  "formula": "SnSb2Os",
  "functional": "PBE",
  "state": "relaxed",
  "e_form_raw_mev_per_atom": 620,
  "de_polymorph_mev_per_atom": 141.5,
  "total_energy_ev_per_atom": -5.25,
  "lattice_angstrom": [[-4.620, -1.238, 1.334], [-3.731, 0.472, -3.243], [-2.141, -4.045, -1.927]],
  "species": ["Sn", "Os", "Sb", "Sb"],
  "frac_coords": [[0.000, 0.000, 0.000], [0.500, 0.500, 0.500], [0.250, 0.250, 0.250], [0.750, 0.750, 0.750]]
}

---

{
  "formula": "InTe2Cl",
  "functional": "PBE",
  "state": "relaxed",
  "e_form_raw_mev_per_atom": 69,
  "de_polymorph_mev_per_atom": 438.9,
  "total_energy_ev_per_atom": -2.65,
  "lattice_angstrom": [[3.316, 0.000, 0.000], [0.000, 3.316, 0.000], [0.000, 0.000, 9.669]],
  "species": ["Te", "In", "Cl", "Te"],
  "frac_coords": [[0.000, 0.000, 0.489], [0.500, 0.500, 0.750], [0.500, 0.500, 0.250], [0.000, 0.000, 0.011]]
}

---

{
  "formula": "Na6TlCd3",
  "functional": "PBE",
  "state": "relaxed",
  "total_energy_ev_per_atom": -1.38,
  "e_form_ev_per_atom": -0.073,
  "lattice_angstrom": [[-5.176, -0.396, 1.665], [2.799, -3.509, 7.865], [-0.452, 11.754, 1.388]],
  "species": ["Na", "Na", "Na", "Cd", "Cd", "Tl", "Na", "Cd", "Na", "Na", "Cd", "Cd", "Na", "Tl", "Na", "Na", "Na", "Cd", "Na", "Na"],
  "frac_coords": [[0.250, 0.006, 0.340], [0.250, 0.221, 0.137], [0.750, 0.421, 0.276], [0.250, 0.796, 0.039], [0.250, 0.628, 0.238], [0.250, 0.404, 0.431], [0.250, 0.008, 0.848], [0.750, 0.204, 0.961], [0.750, 0.992, 0.152], [0.250, 0.408, 0.932], [0.250, 0.205, 0.639], [0.750, 0.372, 0.762], [0.750, 0.209, 0.476], [0.750, 0.596, 0.569], [0.750, 0.994, 0.660], [0.250, 0.791, 0.524], [0.750, 0.779, 0.863], [0.750, 0.795, 0.361], [0.250, 0.579, 0.724], [0.750, 0.592, 0.068]]
}

---

{
  "formula": "Hf2AgTe2",
  "functional": "PBE",
  "state": "relaxed",
  "e_form_raw_mev_per_atom": -332,
  "total_energy_ev_per_atom": -6.14,
  "lattice_angstrom": [[-2.648, 6.695, 3.093], [-6.601, -0.687, -4.165], [-1.573, -1.920, 2.810]],
  "species": ["Hf", "Te", "Ag", "Te", "Ag", "Te", "Hf", "Hf", "Hf", "Te"],
  "frac_coords": [[0.642, 0.142, 0.000], [0.651, 0.849, 0.500], [0.000, 0.000, 0.000], [0.349, 0.151, 0.500], [0.500, 0.500, 0.000], [0.849, 0.349, 0.500], [0.858, 0.642, 0.000], [0.142, 0.358, 0.000], [0.358, 0.858, 0.000], [0.151, 0.651, 0.500]]
}

---

{
  "formula": "Re12Mo17",
  "functional": "PBE",
  "state": "relaxed",
  "total_energy_ev_per_atom": -11.45,
  "e_form_ev_per_atom": 0.051,
  "lattice_angstrom": [[8.419, 0.000, 0.000], [-2.806, 7.938, 0.000], [-2.806, -3.969, 6.874]],
  "species": ["Mo", "Re", "Mo", "Re", "Re", "Re", "Mo", "Re", "Re", "Re", "Mo", "Mo", "Mo", "Mo", "Re", "Mo", "Re", "Mo", "Mo", "Mo", "Re", "Re", "Mo", "Mo", "Mo", "Mo", "Mo", "Re", "Mo"],
  "frac_coords": [[0.405, 0.719, 0.405], [0.000, 0.624, 0.808], [0.000, 0.314, 0.595], [0.808, 0.000, 0.624], [0.815, 0.192, 0.192], [0.376, 0.376, 0.185], [0.314, 0.000, 0.595], [0.624, 0.000, 0.808], [0.624, 0.808, 0.000], [0.000, 0.808, 0.624], [0.686, 0.281, 0.686], [0.000, 0.595, 0.314], [0.595, 0.000, 0.314], [0.281, 0.686, 0.686], [0.185, 0.376, 0.376], [0.686, 0.686, 0.281], [0.192, 0.815, 0.192], [0.645, 0.645, 0.645], [0.314, 0.595, 0.000], [0.595, 0.314, 0.000], [0.192, 0.192, 0.815], [0.376, 0.185, 0.376], [0.000, 0.000, 0.000], [0.000, 0.355, 0.000], [0.719, 0.405, 0.405], [0.355, 0.000, 0.000], [0.000, 0.000, 0.355], [0.808, 0.624, 0.000], [0.405, 0.405, 0.719]]
}

---

{
  "formula": "SiSeN",
  "functional": "PBE",
  "state": "relaxed",
  "e_form_raw_mev_per_atom": -439,
  "de_polymorph_mev_per_atom": 1.5,
  "total_energy_ev_per_atom": -6.18,
  "lattice_angstrom": [[6.884, 0.000, 0.044], [0.000, 3.013, 0.000], [-0.018, 0.000, 5.035]],
  "species": ["Si", "Se", "N", "Se", "Si", "N"],
  "frac_coords": [[0.351, 0.000, 0.155], [0.016, 0.500, 0.649], [0.426, 0.000, 0.491], [0.016, 0.000, 0.149], [0.351, 0.500, 0.655], [0.426, 0.500, 0.991]]
}

---

{
  "formula": "NpOsPbO6",
  "functional": "PBE",
  "state": "relaxed",
  "e_form_raw_mev_per_atom": -1769,
  "total_energy_ev_per_atom": -8.17,
  "lattice_angstrom": [[5.411, 0.000, 0.000], [-2.705, 4.686, 0.000], [0.000, 0.000, 11.034]],
  "species": ["O", "Pb", "O", "Os", "O", "O", "O", "Np", "O", "Os", "Pb", "O", "O", "O", "O", "O", "O", "Np"],
  "frac_coords": [[0.356, 0.984, 0.148], [0.000, 0.000, 0.000], [0.372, 0.016, 0.648], [0.333, 0.667, 0.250], [0.016, 0.644, 0.352], [0.984, 0.356, 0.648], [0.356, 0.372, 0.352], [0.667, 0.333, 0.250], [0.644, 0.016, 0.852], [0.667, 0.333, 0.750], [0.000, 0.000, 0.500], [0.644, 0.628, 0.648], [0.984, 0.628, 0.852], [0.628, 0.984, 0.352], [0.016, 0.372, 0.148], [0.628, 0.644, 0.148], [0.372, 0.356, 0.852], [0.333, 0.667, 0.750]]
}

---

{
  "formula": "K3RbRh",
  "functional": "PBE",
  "state": "relaxed",
  "de_polymorph_mev_per_atom": 765.3,
  "total_energy_ev_per_atom": -1.13,
  "e_form_ev_per_atom": 1.197,
  "lattice_angstrom": [[-3.557, -5.533, -2.487], [3.430, 0.544, -6.115], [5.004, -4.306, 2.423]],
  "species": ["Rb", "K", "K", "K", "Rh"],
  "frac_coords": [[0.000, 0.000, 0.000], [0.000, 0.500, 0.000], [0.000, 0.000, 0.500], [0.500, 0.000, 0.000], [0.500, 0.500, 0.500]]
}